VASP calculation (PBE) on a relaxed structure of TbHoPtRh. Values from VASP.

The calculation puts the density at 12.465 Mg/m³. The value obtained for the density of states at the Fermi level is 0.355 states/eV per atom. Its distance to the lowest polymorph of the same formula is 0.0171 eV/atom. The formation energy from the elements comes out at -1046.8 meV per atom.

```
&SYSTEM
  ibrav = 0, nat = 4, ntyp = 4
/
ATOMIC_SPECIES
Tb 158.93 Tb.upf
Ho 164.93 Ho.upf
Pt 195.08 Pt.upf
Rh 102.91 Rh.upf
CELL_PARAMETERS angstrom
0.0000 3.4600 3.4600
3.4600 0.0000 3.4600
3.4600 3.4600 0.0000
ATOMIC_POSITIONS crystal
Tb 0.0000 0.0000 0.0000
Ho 0.5000 0.5000 0.5000
Pt 0.7500 0.7500 0.7500
Rh 0.2500 0.2500 0.2500
```



VASP calculation (PBE) on a relaxed structure of TbHoPtRh. Values from VASP.

The calculation puts the density at 11.887 Mg/m³. The value obtained for the density of states at the Fermi level is 0.511 states/eV per atom. Its distance to the lowest polymorph of the same formula is 0.0000 eV/atom. The formation energy from the elements comes out at -1063.9 meV per atom.

```
&SYSTEM
  ibrav = 0, nat = 4, ntyp = 4
/
ATOMIC_SPECIES
Tb 158.93 Tb.upf
Ho 164.93 Ho.upf
Pt 195.08 Pt.upf
Rh 102.91 Rh.upf
CELL_PARAMETERS angstrom
4.3334 0.0000 0.0000
0.0000 1.8910 5.3004
0.0000 -1.8910 5.3004
ATOMIC_POSITIONS crystal
Tb 0.0000 0.0000 0.0000
Ho 0.5000 0.7185 0.7185
Pt 0.5000 0.4426 0.4426
Rh 0.0000 0.2669 0.2669
```



VASP calculation (PBE) on a relaxed structure of Ho8Te4Pt3Rh. Values from VASP.

The value obtained for the uncorrected formation energy is -1.220 eV per atom. The calculation puts the density at 9.760 Mg/m³. The value obtained for the density of states at the Fermi level is 0.331 states/eV per atom.

```
&SYSTEM
  ibrav = 0, nat = 16, ntyp = 4
/
ATOMIC_SPECIES
Ho 164.93 Ho.upf
Te 127.60 Te.upf
Pt 195.08 Pt.upf
Rh 102.91 Rh.upf
CELL_PARAMETERS angstrom
4.1317 2.3854 7.2444
-4.1317 2.3854 7.2444
0.0000 -4.7709 7.2444
ATOMIC_POSITIONS crystal
Ho 0.2364 0.2364 0.2364
Ho 0.2416 0.7335 0.7335
Ho 0.2665 0.2665 0.7584
Ho 0.2665 0.7584 0.2665
Ho 0.7335 0.2416 0.7335
Ho 0.7335 0.7335 0.2416
Ho 0.7584 0.2665 0.2665
Ho 0.7636 0.7636 0.7636
Te 0.0000 0.0000 0.0000
Te 0.0000 0.5000 0.5000
Te 0.5000 0.0000 0.5000
Te 0.5000 0.5000 0.0000
Pt 0.0000 0.0000 0.5000
Pt 0.0000 0.5000 0.0000
Pt 0.5000 0.0000 0.0000
Rh 0.5000 0.5000 0.5000
```



Question: Look up the density of the second one.
Answer: 11.887 Mg/m³



Question: Which of these has the lowest density?
Answer: Ho8Te4Pt3Rh



Question: The lowest density belongs to which entry?
Answer: Ho8Te4Pt3Rh